The following is a SCAN calculation of K2LiZr at its PBEsol-relaxed geometry, from Alexandria.

Cell and atoms, written as POSCAR:
```
K2LiZr
1.0
0.0000 4.3163 4.3163
4.3163 0.0000 4.3163
4.3163 4.3163 0.0000
K Li Zr
2 1 1
direct
0.2500 0.2500 0.2500 K
0.7500 0.7500 0.7500 K
0.0000 0.0000 0.0000 Li
0.5000 0.5000 0.5000 Zr
```

SG ... No. 225
Calculated volume ... 160.8 Å³ per cell
Total magnetic moment ... 4.0 μB/cell
Theoretical density ... 1.8 g/cm3
Distance to the lowest polymorph of the same formula ... 0.447 eV/atom
Energy ... -45.64 eV per cell

---

The following is a SCAN calculation of KLi2Zr at its PBEsol-relaxed geometry, from Alexandria.

Cell and atoms, written as POSCAR:
```
KLi2Zr
1.0
-2.1713 2.1713 5.6382
2.1713 -2.1713 5.6382
2.1713 2.1713 -5.6382
K Li Zr
1 2 1
direct
0.0000 0.0000 0.0000 K
0.5000 0.5000 0.0000 Li
0.7500 0.2500 0.5000 Li
0.2500 0.7500 0.5000 Zr
```

SG ... No. 119
Calculated volume ... 106.3 Å³ per cell
Total magnetic moment ... 2.5 μB/cell
Theoretical density ... 2.3 g/cm3
Distance to the lowest polymorph of the same formula ... 0.360 eV/atom
Energy ... -40.68 eV per cell

---

The following is a SCAN calculation of KLiZr3 at its PBEsol-relaxed geometry, from Alexandria.

Cell and atoms, written as POSCAR:
```
KLiZr3
1.0
4.8859 0.0000 0.0000
0.0000 4.8859 0.0000
0.0000 0.0000 4.8859
K Li Zr
1 1 3
direct
0.0000 0.0000 0.0000 K
0.5000 0.5000 0.5000 Li
0.0000 0.0000 0.5000 Zr
0.0000 0.5000 0.0000 Zr
0.5000 0.0000 0.0000 Zr
```

SG ... No. 221
Calculated volume ... 116.6 Å³ per cell
Total magnetic moment ... 1.3 μB/cell
Theoretical density ... 4.6 g/cm3
Energy ... -93.14 eV per cell